# Li2ReOs (GGA-PBE, relaxed)
data_Li2ReOs
_chemical_formula_sum 'Li8 Re4 Os4'
_symmetry_space_group_name_H-M 'I -4 2 d'
_symmetry_Int_Tables_number 122
_symmetry_space_group_name_Hall 'I -4 2bw'
_cell_length_a 6.663
_cell_length_b 6.663
_cell_length_c 4.930
_cell_angle_alpha 90.00
_cell_angle_beta 90.00
_cell_angle_gamma 90.00
loop_
_atom_site_label
_atom_site_type_symbol
_atom_site_fract_x
_atom_site_fract_y
_atom_site_fract_z
Li1 Li 0.245 0.250 0.125
Re1 Re 0.000 0.000 0.500
Os1 Os 0.000 0.000 0.000
# Total DFT energy (no corrections), eV per cell: -92.8
# Magnetization, μB per formula unit: 0.00
# Crystal system: tetragonal
# Offset from the most stable computed form, meV/atom: 960
# Calculated volume, A^3/atom: 13.680
# ΔE_f, eV per atom: 1.07